[1]
A plane-wave DFT calculation with PBE+U was carried out for AcCoPO after structural relaxation.

* uncorrected energy: -6.3070 eV/atom
* crystal system: orthorhombic

Structure (POSCAR):
```
AcCoPO
1.0
4.839 0.000 0.000
0.000 4.155 0.000
0.000 0.000 7.245
Ac Co P O
2 2 2 2
direct
0.000 0.249 0.000
0.000 0.751 0.500
0.500 0.255 0.334
0.500 0.745 0.834
0.500 0.248 0.668
0.500 0.752 0.168
0.000 0.252 0.333
0.000 0.748 0.833
```


[2]
A plane-wave DFT calculation with PBE+U was carried out for AcCoPO after structural relaxation.

* uncorrected energy: -6.2359 eV/atom
* crystal system: orthorhombic

Structure (POSCAR):
```
AcCoPO
1.0
4.428 0.000 0.000
0.000 6.504 0.000
0.000 0.000 6.170
Ac Co P O
2 2 2 2
direct
0.000 0.245 0.000
0.000 0.755 0.500
0.500 0.354 0.589
0.500 0.646 0.089
0.000 0.230 0.505
0.000 0.770 0.005
0.500 0.375 0.929
0.500 0.625 0.429
```


[3]
A plane-wave DFT calculation with PBE+U was carried out for AcCoPO after structural relaxation.

* uncorrected energy: -6.5903 eV/atom
* crystal system: tetragonal

Structure (POSCAR):
```
AcCoPO
1.0
4.054 0.000 0.000
0.000 4.054 0.000
0.000 0.000 8.496
Ac Co P O
2 2 2 2
direct
0.250 0.250 0.159
0.750 0.750 0.841
0.250 0.750 0.500
0.750 0.250 0.500
0.250 0.250 0.612
0.750 0.750 0.388
0.250 0.750 0.000
0.750 0.250 0.000
```


Question: Which value of uncorrected energy does entry 3 give?
Answer: -6.5903 eV/atom